[1]
Below is Rb3Sm2YSe6 after structural relaxation, with properties calculated at the GGA-PBE level.

Summary:
Crystal system = monoclinic
E = -5.05 eV per atom
Formation energy (no corrections) = -1.74 eV/atom

a b c (Å): 7.4465 7.4465 8.3854
angles (deg): 98.52 98.52 120.00
Closest atoms and distances in Å follow each position.
Sites, in units of the cell vectors:
Rb 0.1676 0.8324 0.5000  6 Se 3.45-3.48
Rb 0.8324 0.1676 0.5000  6 Se 3.45-3.48
Rb 0.5000 0.5000 0.5000  6 Se 3.45-3.49
Sm 0.3334 0.6666 0.0000  6 Se 2.96
Sm 0.6666 0.3334 0.0000  6 Se 2.96
Y 0.0000 0.0000 0.0000  6 Se 2.92
Se 0.9340 0.6052 0.8020  1 Y 2.92, 2 Sm 2.96
Se 0.7373 0.7373 0.1983  1 Y 2.92, 2 Sm 2.96
Se 0.0660 0.3948 0.1980  1 Y 2.92, 2 Sm 2.96
Se 0.6052 0.9340 0.8020  1 Y 2.92, 2 Sm 2.96
Se 0.2627 0.2627 0.8017  1 Y 2.92, 2 Sm 2.96
Se 0.3948 0.0660 0.1980  1 Y 2.92, 2 Sm 2.96

=====

[2]
Below is RbSmZnSe3 after structural relaxation, with properties calculated at the GGA-PBE level.

Summary:
Crystal system = monoclinic
E = -4.28 eV per atom
Formation energy (no corrections) = -1.38 eV/atom

a b c (Å): 4.2244 9.4727 10.0908
angles (deg): 108.63 90.00 90.00
Closest atoms and distances in Å follow each position.
Sites, in units of the cell vectors:
Rb 0.2500 0.2087 0.2374  7 Se 3.49-3.72
Rb 0.7500 0.7913 0.7626  7 Se 3.49-3.72
Sm 0.2500 0.6702 0.1413  6 Se 2.89-3.10
Sm 0.7500 0.3298 0.8587  6 Se 2.89-3.10
Zn 0.2500 0.0826 0.6083  4 Se 2.44-2.57
Zn 0.7500 0.9174 0.3917  4 Se 2.44-2.57
Se 0.7500 0.8881 0.1426  1 Zn 2.44
Se 0.2500 0.1119 0.8574  1 Zn 2.44
Se 0.2500 0.8064 0.4641  3 Zn 2.56-2.57
Se 0.7500 0.1936 0.5359  3 Zn 2.56-2.57
Se 0.7500 0.4645 0.1590  3 Sm 2.89-2.92
Se 0.2500 0.5355 0.8410  3 Sm 2.89-2.92

=====

[3]
Below is Rb2SmZn2Se4 after structural relaxation, with properties calculated at the GGA-PBE level.

Summary:
Crystal system = monoclinic
E = -3.66 eV per atom
Formation energy (no corrections) = -1.09 eV/atom

a b c (Å): 4.3396 8.1827 8.3023
angles (deg): 109.27 105.15 90.00
Closest atoms and distances in Å follow each position.
Sites, in units of the cell vectors:
Rb 0.1306 0.5571 0.2611  7 Se 3.57-3.71, 1 Zn 3.93, 1 Rb 3.96
Rb 0.8694 0.4429 0.7389  7 Se 3.57-3.71, 1 Zn 3.93, 1 Rb 3.96
Sm 0.0000 0.0000 0.0000  6 Se 2.98-3.02
Zn 0.6767 0.9901 0.3535  4 Se 2.49-2.71
Zn 0.3233 0.0099 0.6465  4 Se 2.49-2.71
Se 0.1997 0.1681 0.3994  3 Zn 2.57-2.71
Se 0.8003 0.8319 0.6006  3 Zn 2.57-2.71
Se 0.5238 0.7709 0.0475  1 Zn 2.49
Se 0.4762 0.2291 0.9525  1 Zn 2.49

=====

[4]
Below is Rb3Sm2ZrSe6 after structural relaxation, with properties calculated at the GGA-PBE level.

Summary:
Crystal system = monoclinic
E = -5.05 eV per atom
Formation energy (no corrections) = -1.57 eV/atom

a b c (Å): 7.2693 7.2693 8.3989
angles (deg): 98.31 98.31 120.01
Closest atoms and distances in Å follow each position.
Sites, in units of the cell vectors:
Rb 0.1707 0.8293 0.5000  6 Se 3.40-3.49
Rb 0.8293 0.1707 0.5000  6 Se 3.40-3.49
Rb 0.5000 0.5000 0.5000  6 Se 3.39-3.52
Sm 0.3338 0.6662 0.0000  6 Se 2.95
Sm 0.6662 0.3338 0.0000  6 Se 2.95
Zr 0.0000 0.0000 0.0000  6 Se 2.79-2.80
Se 0.9343 0.6182 0.8027  1 Zr 2.79, 2 Sm 2.95
Se 0.7507 0.7507 0.1988  1 Zr 2.80, 2 Sm 2.95
Se 0.0657 0.3818 0.1973  1 Zr 2.79, 2 Sm 2.95
Se 0.6182 0.9343 0.8027  1 Zr 2.79, 2 Sm 2.95
Se 0.2493 0.2493 0.8012  1 Zr 2.80, 2 Sm 2.95
Se 0.3818 0.0657 0.1973  1 Zr 2.79, 2 Sm 2.95

=====

[5]
Below is Rb2Sm2ZrSe6 after structural relaxation, with properties calculated at the GGA-PBE level.

Summary:
Crystal system = monoclinic
E = -5.34 eV per atom
Formation energy (no corrections) = -1.63 eV/atom

a b c (Å): 7.1787 7.1787 8.5646
angles (deg): 98.39 98.39 119.53
Closest atoms and distances in Å follow each position.
Sites, in units of the cell vectors:
Rb 0.8291 0.1709 0.0000  6 Se 3.45-3.53
Rb 0.1709 0.8291 0.0000  6 Se 3.45-3.53
Sm 0.3331 0.6669 0.5000  6 Se 2.93-2.94
Sm 0.6669 0.3331 0.5000  6 Se 2.93-2.94
Zr 0.0000 0.0000 0.5000  6 Se 2.74-2.75
Se 0.7541 0.7541 0.6912  1 Zr 2.74, 2 Sm 2.93
Se 0.0674 0.3801 0.6927  1 Zr 2.75, 2 Sm 2.93-2.94
Se 0.2459 0.2459 0.3088  1 Zr 2.74, 2 Sm 2.93
Se 0.3801 0.0674 0.6927  1 Zr 2.75, 2 Sm 2.93-2.94
Se 0.9326 0.6199 0.3073  1 Zr 2.75, 2 Sm 2.93-2.94
Se 0.6199 0.9326 0.3073  1 Zr 2.75, 2 Sm 2.93-2.94

=====

[6]
Below is RbSn3Se3 after structural relaxation, with properties calculated at the GGA-PBE level.

Summary:
Crystal system = trigonal
E = -3.75 eV per atom
Formation energy (no corrections) = -0.41 eV/atom

a b c (Å): 9.2492 9.2492 8.5477
angles (deg): 57.25 57.25 60.00
Closest atoms and distances in Å follow each position.
Sites, in units of the cell vectors:
Rb 0.3235 0.3235 0.0296  3 Se 3.62, 6 Sn 3.75-3.93
Rb 0.6765 0.6765 0.9704  3 Se 3.62, 6 Sn 3.75-3.93
Sn 0.4177 0.7664 0.6692  3 Se 2.74-2.89
Sn 0.7664 0.1467 0.6692  3 Se 2.74-2.89
Sn 0.1467 0.4177 0.6692  3 Se 2.74-2.89
Sn 0.8533 0.5823 0.3308  3 Se 2.74-2.89
Sn 0.2336 0.8533 0.3308  3 Se 2.74-2.89
Sn 0.5823 0.2336 0.3308  3 Se 2.74-2.89
Se 0.1721 0.6161 0.2796  3 Sn 2.74-2.89
Se 0.9322 0.1721 0.2796  3 Sn 2.74-2.89
Se 0.6161 0.9322 0.2796  3 Sn 2.74-2.89
Se 0.3839 0.0678 0.7204  3 Sn 2.74-2.89
Se 0.0678 0.8279 0.7204  3 Sn 2.74-2.89
Se 0.8279 0.3839 0.7204  3 Sn 2.74-2.89

=====

What is the formula in the fifth record?
Rb2Sm2ZrSe6